YPaCo | PBE | relaxed

a = 3.520 Å, b = 6.611 Å, c = 6.820 Å
α = 116.51°, β = 104.95°, γ = 90.00°
Fractional positions:
Y1 0.495 0.241 0.991
Y2 0.505 0.759 0.009
Pa1 0.777 0.781 0.554
Pa2 0.223 0.219 0.446
Co1 0.138 0.612 0.277
Co2 0.862 0.388 0.723

The mass density is 9.25 g/cm³. The calculation puts the density of states at the Fermi level at 1.4206 states/eV per atom. The formation energy is -0.1501 eV per atom. As for the uncorrected energy: -7.839 eV per atom. The calculation puts the excess energy over the best structure of this formula in the dataset at 0.068 eV/atom.

***

Y5PaCo4 | PBE | relaxed

a = 4.187 Å, b = 7.013 Å, c = 8.559 Å
α = 109.92°, β = 104.16°, γ = 90.00°
Fractional positions:
Y1 0.165 0.049 0.330
Y2 0.175 0.554 0.350
Y3 0.825 0.446 0.650
Y4 0.500 0.500 0.000
Y5 0.835 0.951 0.670
Pa1 0.500 0.000 0.000
Co1 0.638 0.283 0.275
Co2 0.985 0.789 0.969
Co3 0.362 0.717 0.725
Co4 0.015 0.211 0.031

The mass density is 6.63 g/cm³. The calculation puts the density of states at the Fermi level at 0.8115 states/eV per atom. The formation energy is -0.2373 eV per atom. As for the uncorrected energy: -7.261 eV per atom.